[1]
Entry from Alexandria: YGaRh at its PBEsol-relaxed geometry (meta-GGA SCAN).

Lattice parameters (Å, degrees): 4.2598 6.7204 7.6664 90.00 90.00 90.00
Last column: nearest neighbours and their distance in Å.
Element x y z (fractional)
Rh 0.7500 0.2294 0.1117  4 Ga 2.57-2.60, 1 Y 2.82
Y 0.7500 0.9735 0.6877  5 Rh 2.82-2.98, 5 Ga 3.04-3.16
Rh 0.2500 0.2706 0.6117  4 Ga 2.57-2.60, 1 Y 2.82
Rh 0.7500 0.7294 0.3883  4 Ga 2.57-2.60, 1 Y 2.82
Rh 0.2500 0.7706 0.8883  4 Ga 2.57-2.60, 1 Y 2.82
Y 0.2500 0.0265 0.3123  5 Rh 2.82-2.98, 5 Ga 3.04-3.16
Y 0.2500 0.5265 0.1877  5 Rh 2.82-2.98, 5 Ga 3.04-3.16
Ga 0.7500 0.8455 0.0683  4 Rh 2.57-2.60
Ga 0.7500 0.3455 0.4317  4 Rh 2.57-2.60
Y 0.7500 0.4735 0.8123  5 Rh 2.82-2.98, 5 Ga 3.04-3.16
Ga 0.2500 0.1545 0.9317  4 Rh 2.57-2.60
Ga 0.2500 0.6545 0.5683  4 Rh 2.57-2.60

Results
For the total moment, the calculation gives 0.0 μB per formula unit. The final energy is -27.02 eV/atom. The density of states at the Fermi level is 0.567 states/eV/atom.

***

[2]
Entry from Alexandria: LiYNi at its PBEsol-relaxed geometry (meta-GGA SCAN).

Lattice parameters (Å, degrees): 4.4414 4.4414 4.4414 60.00 60.00 60.00
Last column: nearest neighbours and their distance in Å.
Element x y z (fractional)
Li 0.0000 0.0000 0.0000  4 Y 2.72
Ni 0.5000 0.5000 0.5000  4 Y 2.72
Y 0.2500 0.2500 0.2500  4 Li 2.72, 4 Ni 2.72

Results
For the total moment, the calculation gives 0.0 μB per formula unit. The final energy is -15.00 eV/atom. The density of states at the Fermi level is 0.257 states/eV/atom.

***

[3]
Entry from Alexandria: La2BIr at its PBEsol-relaxed geometry (meta-GGA SCAN).

Lattice parameters (Å, degrees): 6.2225 6.2225 6.2225 108.42 108.42 111.59
Last column: nearest neighbours and their distance in Å.
Element x y z (fractional)
La 0.1250 0.6154 0.9904  2 B 2.67, 2 Ir 2.76
B 0.7500 0.2500 0.5000  4 La 2.67
Ir 0.2500 0.7500 0.5000  4 La 2.76
La 0.3846 0.3750 0.5096  2 B 2.67, 2 Ir 2.76
La 0.6250 0.1346 0.0096  2 B 2.67, 2 Ir 2.76
La 0.8654 0.8750 0.4904  2 B 2.67, 2 Ir 2.76
B 0.5000 0.5000 0.0000  4 La 2.67
Ir 0.0000 0.0000 0.0000  4 La 2.76

Results
For the total moment, the calculation gives 0.0 μB per formula unit. The final energy is -41.04 eV/atom. The density of states at the Fermi level is 0.917 states/eV/atom.